Entry from the Alexandria database: a geometry-optimized Ac4Ag2Rh structure (PBE).

Summary:
* total energy: -0.326 Ry/atom
* polymorph energy (0 for the lowest one): 0.142 eV per atom
* DFT formation energy: -0.22 eV/atom

a b c (Å): 5.743 5.743 15.714
angles (deg): 90.00 90.00 90.00
Space group I4/mmm (No. 139)
Unique sites:
1 Ac 0.000 0.000 0.190 (multiplicity 4)
2 Ac 0.000 0.500 0.000 (multiplicity 4)
3 Ag 0.000 0.000 0.390 (multiplicity 4)
4 Rh 0.000 0.000 0.000 (multiplicity 2)

***

Entry from the Alexandria database: a geometry-optimized AcAg2Rh structure (PBE).

Summary:
* total energy: -0.315 Ry/atom
* polymorph energy (0 for the lowest one): 0.286 eV per atom
* DFT formation energy: 0.00 eV/atom

a b c (Å): 5.1011 5.1011 12.1303
angles (deg): 90.00 90.00 120.00
Space group R-3m (No. 166, hexagonal axes)
Unique sites:
1 Ac 0.0000 0.0000 0.0000 (multiplicity 3)
2 Ag 0.0000 0.0000 0.2561 (multiplicity 6)
3 Rh 0.0000 0.0000 0.5000 (multiplicity 3)

***

Entry from the Alexandria database: a geometry-optimized Ac3Ag2Rh7 structure (PBE).

Summary:
* total energy: -0.456 Ry/atom
* DFT formation energy: -0.41 eV/atom

a b c (Å): 5.5341 5.5341 27.0284
angles (deg): 90.00 90.00 120.00
Space group R-3m (No. 166, hexagonal axes)
Unique sites:
1 Ac 0.0000 0.0000 0.0000 (multiplicity 3)
2 Ac 0.0000 0.0000 0.1390 (multiplicity 6)
3 Ag 0.0000 0.0000 0.3336 (multiplicity 6)
4 Rh 0.0000 0.0000 0.5000 (multiplicity 3)
5 Rh 0.0029 0.5014 0.9146 (multiplicity 18)

***

Entry from the Alexandria database: a geometry-optimized AcAgRh structure (PBE).

Summary:
* total energy: -0.370 Ry/atom
* polymorph energy (0 for the lowest one): 0.171 eV per atom
* DFT formation energy: -0.26 eV/atom

a b c (Å): 6.836 6.836 6.836
angles (deg): 90.00 90.00 90.00
Space group F-43m (No. 216)
Unique sites:
1 Ac 0.000 0.000 0.000 (multiplicity 4)
2 Ag 0.000 0.000 0.500 (multiplicity 4)
3 Rh 0.250 0.250 0.750 (multiplicity 4)

***

Entry from the Alexandria database: a geometry-optimized Ac6AgRh3 structure (PBE).

Summary:
* total energy: -0.403 Ry/atom
* DFT formation energy: -0.53 eV/atom

a b c (Å): 12.592 4.387 13.239
angles (deg): 90.00 111.83 90.00
Space group P2_1/m (No. 11)
Unique sites:
1 Ac 0.041 0.250 0.384 (multiplicity 2)
2 Ac 0.098 0.750 0.940 (multiplicity 2)
3 Ac 0.249 0.250 0.783 (multiplicity 2)
4 Ac 0.249 0.750 0.269 (multiplicity 2)
5 Ac 0.410 0.250 0.565 (multiplicity 2)
6 Ac 0.438 0.250 0.107 (multiplicity 2)
7 Ag 0.206 0.750 0.569 (multiplicity 2)
8 Rh 0.008 0.250 0.780 (multiplicity 2)
9 Rh 0.336 0.750 0.945 (multiplicity 2)
10 Rh 0.416 0.250 0.340 (multiplicity 2)

***

Entry from the Alexandria database: a geometry-optimized Ac4Ag5Rh2 structure (PBE).

Summary:
* total energy: -0.332 Ry/atom
* DFT formation energy: -0.39 eV/atom

a b c (Å): 7.671 4.101 9.432
angles (deg): 90.00 93.82 90.00
Space group P2/m (No. 10)
Unique sites:
1 Ac 0.191 0.000 0.358 (multiplicity 2)
2 Ac 0.231 0.000 0.932 (multiplicity 2)
3 Ag 0.190 0.500 0.647 (multiplicity 2)
4 Ag 0.454 0.500 0.182 (multiplicity 2)
5 Ag 0.500 0.500 0.500 (multiplicity 1)
6 Rh 0.069 0.500 0.150 (multiplicity 2)

***

Entry from the Alexandria database: a geometry-optimized AcAgRh2 structure (PBE).

Summary:
* total energy: -0.404 Ry/atom
* DFT formation energy: -0.08 eV/atom

a b c (Å): 3.590 3.590 6.231
angles (deg): 90.00 90.00 90.00
Space group P4/mmm (No. 123)
Unique sites:
1 Ac 0.000 0.000 0.000 (multiplicity 1)
2 Ag 0.000 0.000 0.500 (multiplicity 1)
3 Rh 0.500 0.500 0.266 (multiplicity 2)

***

Entry from the Alexandria database: a geometry-optimized AcAg2Rh structure (PBE).

Summary:
* total energy: -0.336 Ry/atom
* polymorph energy (0 for the lowest one): 0.000 eV per atom
* DFT formation energy: -0.29 eV/atom

a b c (Å): 4.446 10.063 8.142
angles (deg): 90.00 90.00 90.00
Space group Cmcm (No. 63)
Unique sites:
1 Ac 0.000 0.065 0.250 (multiplicity 4)
2 Ag 0.000 0.355 0.055 (multiplicity 8)
3 Rh 0.000 0.224 0.750 (multiplicity 4)

***

Entry from the Alexandria database: a geometry-optimized Ac2Ag2Rh structure (PBE).

Summary:
* total energy: -0.342 Ry/atom
* DFT formation energy: -0.40 eV/atom

a b c (Å): 4.170 6.021 11.857
angles (deg): 93.87 100.08 110.23
Space group P-1 (No. 2)
Unique sites:
1 Ac 0.062 0.253 0.372 (multiplicity 2)
2 Ac 0.339 0.339 0.839 (multiplicity 2)
3 Ag 0.132 0.810 0.954 (multiplicity 2)
4 Ag 0.358 0.821 0.395 (multiplicity 2)
5 Rh 0.387 0.079 0.197 (multiplicity 2)

***

Entry from the Alexandria database: a geometry-optimized Ac8Ag2Rh structure (PBE).

Summary:
* total energy: -0.323 Ry/atom
* DFT formation energy: -0.22 eV/atom

a b c (Å): 19.987 4.212 10.002
angles (deg): 90.00 94.05 90.00
Space group C2/m (No. 12)
Unique sites:
1 Ac 0.009 0.000 0.207 (multiplicity 4)
2 Ac 0.093 0.500 0.519 (multiplicity 4)
3 Ac 0.152 0.500 0.000 (multiplicity 4)
4 Ac 0.223 0.000 0.333 (multiplicity 4)
5 Ag 0.163 0.000 0.746 (multiplicity 4)
6 Rh 0.000 0.500 0.000 (multiplicity 2)

***

Entry from the Alexandria database: a geometry-optimized Ac4AgRh2 structure (PBE).

Summary:
* total energy: -0.396 Ry/atom
* polymorph energy (0 for the lowest one): 0.000 eV per atom
* DFT formation energy: -0.54 eV/atom

a b c (Å): 4.350 14.365 14.810
angles (deg): 90.00 90.00 90.00
Space group Cmcm (No. 63)
Unique sites:
1 Ac 0.000 0.000 0.000 (multiplicity 4)
2 Ac 0.000 0.269 0.112 (multiplicity 8)
3 Ac 0.000 0.441 0.750 (multiplicity 4)
4 Ag 0.000 0.114 0.750 (multiplicity 4)
5 Rh 0.000 0.368 0.564 (multiplicity 8)

***

Entry from the Alexandria database: a geometry-optimized Ac6AgRh4 structure (PBE).

Summary:
* total energy: -0.423 Ry/atom
* DFT formation energy: -0.58 eV/atom

a b c (Å): 4.337 14.282 22.082
angles (deg): 90.00 90.00 90.00
Space group Cmcm (No. 63)
Unique sites:
1 Ac 0.000 0.000 0.000 (multiplicity 4)
2 Ac 0.000 0.166 0.250 (multiplicity 4)
3 Ac 0.000 0.270 0.583 (multiplicity 8)
4 Ac 0.000 0.460 0.156 (multiplicity 8)
5 Ag 0.000 0.155 0.750 (multiplicity 4)
6 Rh 0.000 0.099 0.129 (multiplicity 8)
7 Rh 0.000 0.363 0.043 (multiplicity 8)

***

Question: What is the formula in the ninth record?
Answer: Ac2Ag2Rh

***

Question: Among the records above, which one has the lowest DFT formation energy?
Answer: Ac6AgRh4